Record 1
DFT (PBE) results for a relaxed TlHgTe2N crystal.

## Properties
Uncorrected formation energy, eV/atom: 0.92
Excess energy over the best structure of this formula in the dataset, kcal/mol of atoms: 0.00

a = 6.078 Å, b = 6.078 Å, c = 4.058 Å
α = 90.00°, β = 90.00°, γ = 90.00°
Fractional positions:
Tl  0.000  0.000  0.000
Hg  0.500  0.500  0.500
Te  0.000  0.500  0.500
Te  0.500  0.000  0.500
N  0.500  0.500  0.000

=====

Record 2
DFT (PBE) results for a relaxed UHgTeN crystal.

## Properties
Uncorrected formation energy, eV/atom: -0.87

a = 3.949 Å, b = 3.949 Å, c = 12.373 Å
α = 90.00°, β = 90.00°, γ = 90.00°
Fractional positions:
U  0.250  0.250  0.091
U  0.750  0.750  0.909
Hg  0.250  0.750  0.500
Hg  0.750  0.250  0.500
Te  0.250  0.250  0.770
Te  0.750  0.750  0.230
N  0.250  0.750  0.000
N  0.750  0.250  0.000

=====

Record 3
DFT (PBE) results for a relaxed VHgTeN2 crystal.

## Properties
Uncorrected formation energy, eV/atom: 2.27
Excess energy over the best structure of this formula in the dataset, kcal/mol of atoms: 41.76

a = 4.064 Å, b = 4.064 Å, c = 6.152 Å
α = 90.00°, β = 90.00°, γ = 90.00°
Fractional positions:
V  0.000  0.000  0.000
Hg  0.500  0.500  0.500
Te  0.500  0.500  0.000
N  0.000  0.500  0.500
N  0.500  0.000  0.500

=====

Record 4
DFT (PBE) results for a relaxed VHgTe2N crystal.

## Properties
Uncorrected formation energy, eV/atom: 1.36
Excess energy over the best structure of this formula in the dataset, kcal/mol of atoms: 28.94

a = 5.746 Å, b = 5.746 Å, c = 4.033 Å
α = 90.00°, β = 90.00°, γ = 90.00°
Fractional positions:
V  0.000  0.000  0.000
Hg  0.500  0.500  0.500
Te  0.000  0.500  0.500
Te  0.500  0.000  0.500
N  0.500  0.500  0.000